No. 1
Pm3Dy3MgSe8 after structural relaxation. Source: Alexandria via LeMat-Bulk, functional PBE-GGA.

Unit cell a=8.1927 b=8.1927 c=20.3288 alpha=90.00 beta=90.00 gamma=120.00
Space group R-3m (No. 166, hexagonal axes)
One atom of each set of equivalent atoms:
Pm 0.0000 0.5000 0.0000
Dy 0.0000 0.5000 0.5000
Mg 0.0000 0.0000 0.5000
Se 0.0000 0.0000 0.2465
Se 0.0067 0.5034 0.2450

## Properties
E: -252.5 eV for the cell shown
E_form (uncorrected): -1.77 eV per atom

---

No. 2
CrReGeSe2 after structural relaxation. Source: Alexandria via LeMat-Bulk, functional PBE-GGA.

Unit cell a=4.8359 b=4.8359 c=4.8787 alpha=90.00 beta=90.00 gamma=90.00
Space group P4/mmm (No. 123)
One atom of each set of equivalent atoms:
Cr 0.0000 0.0000 0.0000
Re 0.0000 0.0000 0.5000
Ge 0.5000 0.5000 0.0000
Se 0.0000 0.5000 0.5000

## Properties
E: -29.6 eV for the cell shown
E_form (uncorrected): 0.82 eV per atom

---

No. 3
Li5Ca3 after structural relaxation. Source: Alexandria via LeMat-Bulk, functional PBE-GGA.

Unit cell a=7.8053 b=11.0396 c=5.4522 alpha=90.00 beta=90.00 gamma=90.00
Space group Cmmm (No. 65)
One atom of each set of equivalent atoms:
Li 0.0000 0.0000 0.0000
Li 0.2487 0.0000 0.5000
Li 0.2500 0.2500 0.0000
Ca 0.0000 0.2412 0.5000
Ca 0.0000 0.5000 0.0000

## Properties
E: -30.3 eV for the cell shown
ΔH_f (0 K): 0.054 eV/atom
ΔE to the lowest computed polymorph: 10 meV per atom

---

No. 4
SrPrSm after structural relaxation. Source: Alexandria via LeMat-Bulk, functional PBE-GGA.

Unit cell a=3.8120 b=3.8120 c=16.4811 alpha=90.00 beta=90.00 gamma=90.00
Space group I4mm (No. 107)
One atom of each set of equivalent atoms:
Sr 0.0000 0.0000 0.0000
Pr 0.0000 0.0000 0.3197
Sm 0.0000 0.0000 0.6777

## Properties
E: -21.9 eV for the cell shown
ΔH_f (0 K): 0.084 eV/atom
ΔE to the lowest computed polymorph: 0 meV per atom

---

No. 5
PrPuPN after structural relaxation. Source: Alexandria via LeMat-Bulk, functional PBE-GGA.

Unit cell a=3.7936 b=3.7936 c=19.0700 alpha=90.00 beta=90.00 gamma=120.00
Space group R3m (No. 160, hexagonal axes)
One atom of each set of equivalent atoms:
Pr 0.0000 0.0000 0.0000
Pu 0.0000 0.0000 0.4789
P 0.0000 0.0000 0.2340
N 0.0000 0.0000 0.7507

## Properties
E: -112.9 eV for the cell shown
E_form (uncorrected): -1.20 eV per atom

---

No. 6
LiYEr2Tl4 after structural relaxation. Source: Alexandria via LeMat-Bulk, functional PBE-GGA.

Unit cell a=5.2167 b=5.2167 c=26.3525 alpha=90.00 beta=90.00 gamma=120.00
Space group R-3m (No. 166, hexagonal axes)
One atom of each set of equivalent atoms:
Li 0.0000 0.0000 0.0000
Y 0.0000 0.0000 0.5000
Er 0.0000 0.0000 0.2541
Tl 0.0000 0.0000 0.1223
Tl 0.0000 0.0000 0.3724

## Properties
E: -88.6 eV for the cell shown
ΔH_f (0 K): -0.322 eV/atom

---

No. 7
CeFe3 after structural relaxation. Source: Alexandria via LeMat-Bulk, functional PBE-GGA.

Unit cell a=4.9079 b=4.9079 c=16.8851 alpha=90.00 beta=90.00 gamma=120.00
Space group P6_3/mmc (No. 194)
One atom of each set of equivalent atoms:
Ce 0.3333 0.6667 0.0369
Ce 0.3333 0.6667 0.2500
Fe 0.0000 0.0000 0.0000
Fe 0.0000 0.0000 0.2500
Fe 0.1659 0.3317 0.6290
Fe 0.3333 0.6667 0.7500

## Properties
E: -187.6 eV for the cell shown
ΔH_f (0 K): 0.012 eV/atom

---

No. 8
NiC2 after structural relaxation. Source: Alexandria via LeMat-Bulk, functional PBE-GGA.

Unit cell a=7.5505 b=3.8791 c=5.0107 alpha=90.00 beta=90.00 gamma=90.00
Space group Pnma (No. 62)
One atom of each set of equivalent atoms:
Ni 0.2080 0.2500 0.0594
C 0.2103 0.2500 0.4306
C 0.2102 0.2500 0.6885

## Properties
E: -83.6 eV for the cell shown
ΔH_f (0 K): 1.108 eV/atom
ΔE to the lowest computed polymorph: 690 meV per atom

---

No. 9
MgScAs2 after structural relaxation. Source: Alexandria via LeMat-Bulk, functional PBE-GGA.

Unit cell a=6.9608 b=6.1779 c=3.5794 alpha=90.00 beta=90.11 gamma=90.00
Space group C2/m (No. 12)
One atom of each set of equivalent atoms:
Mg 0.0000 0.0000 0.0000
Sc 0.0000 0.5000 0.0000
As 0.2500 0.2500 0.5000

## Properties
E: -39.6 eV for the cell shown
ΔH_f (0 K): -0.639 eV/atom

---

No. 10
Zr2CrHIr after structural relaxation. Source: Alexandria via LeMat-Bulk, functional PBE-GGA.

Unit cell a=4.6068 b=4.6068 c=3.3869 alpha=90.00 beta=90.00 gamma=90.00
Space group P4/mmm (No. 123)
One atom of each set of equivalent atoms:
Zr 0.0000 0.5000 0.0000
Cr 0.0000 0.0000 0.5000
H 0.0000 0.0000 0.0000
Ir 0.5000 0.5000 0.5000

## Properties
E: -40.9 eV for the cell shown
ΔE to the lowest computed polymorph: 0 meV per atom

---

No. 11
ZnCuSe4 after structural relaxation. Source: Alexandria via LeMat-Bulk, functional PBE-GGA.

Unit cell a=8.0446 b=8.0446 c=8.0446 alpha=90.00 beta=90.00 gamma=90.00
Space group F-43m (No. 216)
One atom of each set of equivalent atoms:
Zn 0.0000 0.0000 0.0000
Cu 0.2500 0.2500 0.7500
Se 0.1258 0.1258 0.3742

## Properties
E: -61.2 eV for the cell shown
E_form (uncorrected): 0.67 eV per atom

---

No. 12
AgIF3 after structural relaxation. Source: Alexandria via LeMat-Bulk, functional PBE-GGA.

Unit cell a=4.4410 b=4.4410 c=4.4410 alpha=90.00 beta=90.00 gamma=90.00
Space group Pm-3m (No. 221)
One atom of each set of equivalent atoms:
Ag 0.0000 0.0000 0.0000
I 0.5000 0.5000 0.5000
F 0.0000 0.0000 0.5000

## Properties
E: -13.4 eV for the cell shown
ΔE to the lowest computed polymorph: 398 meV per atom
E_form (uncorrected): -0.67 eV per atom

---

No. 13
Rb2BaI2Br2 after structural relaxation. Source: Alexandria via LeMat-Bulk, functional PBE-GGA.

Unit cell a=14.7077 b=4.8271 c=10.2827 alpha=90.00 beta=117.67 gamma=90.00
Space group C2/m (No. 12)
One atom of each set of equivalent atoms:
Rb 0.1541 0.0000 0.1886
Ba 0.0000 0.5000 0.5000
I 0.0720 0.5000 0.8672
Br 0.1641 0.0000 0.5624

## Properties
E: -45.2 eV for the cell shown
E_form (uncorrected): -1.76 eV per atom

---

No. 14
CaTeAs2Pb after structural relaxation. Source: Alexandria via LeMat-Bulk, functional PBE-GGA.

Unit cell a=5.3669 b=5.3669 c=5.9587 alpha=90.00 beta=90.00 gamma=90.00
Space group P4/mmm (No. 123)
One atom of each set of equivalent atoms:
Ca 0.0000 0.0000 0.0000
Te 0.5000 0.5000 0.0000
As 0.0000 0.5000 0.5000
Pb 0.5000 0.5000 0.5000

## Properties
E: -16.7 eV for the cell shown
E_form (uncorrected): 0.28 eV per atom

---

No. 15
TmThHg after structural relaxation. Source: Alexandria via LeMat-Bulk, functional PBE-GGA.

Unit cell a=3.3574 b=17.4083 c=6.0859 alpha=90.00 beta=90.00 gamma=90.00
Space group Cmcm (No. 63)
One atom of each set of equivalent atoms:
Tm 0.0000 0.0000 0.0000
Th 0.0000 0.3361 0.2500
Hg 0.0000 0.1531 0.2500

## Properties
E: -48.1 eV for the cell shown
ΔH_f (0 K): 0.055 eV/atom
ΔE to the lowest computed polymorph: 284 meV per atom

---

No. 16
Ac2TmUS6 after structural relaxation. Source: Alexandria via LeMat-Bulk, functional PBE-GGA.

Unit cell a=7.2689 b=7.2689 c=18.5592 alpha=90.00 beta=90.00 gamma=120.00
Space group R3 (No. 146, hexagonal axes)
One atom of each set of equivalent atoms:
Ac 0.0000 0.0000 0.0000
Ac 0.0000 0.0000 0.4991
Tm 0.0000 0.0000 0.2115
U 0.0000 0.0000 0.7118
S 0.0645 0.3488 0.2831
S 0.0689 0.7123 0.7848

## Properties
E: -202.3 eV for the cell shown
E_form (uncorrected): -1.87 eV per atom

---

No. 17
Sn3HPt after structural relaxation. Source: Alexandria via LeMat-Bulk, functional PBE-GGA.

Unit cell a=4.5862 b=4.5862 c=4.5862 alpha=90.00 beta=90.00 gamma=90.00
Space group Pm-3m (No. 221)
One atom of each set of equivalent atoms:
Sn 0.0000 0.0000 0.5000
H 0.0000 0.0000 0.0000
Pt 0.5000 0.5000 0.5000

## Properties
E: -20.2 eV for the cell shown
ΔE to the lowest computed polymorph: 0 meV per atom

---

No. 18
Ga2FeCo2 after structural relaxation. Source: Alexandria via LeMat-Bulk, functional PBE-GGA.

Unit cell a=6.7463 b=6.7463 c=2.6838 alpha=90.00 beta=90.00 gamma=90.00
Space group P4/mbm (No. 127)
One atom of each set of equivalent atoms:
Ga 0.1411 0.3589 0.0000
Fe 0.0000 0.0000 0.0000
Co 0.1597 0.6597 0.5000

## Properties
E: -56.4 eV for the cell shown
ΔH_f (0 K): 0.109 eV/atom
ΔE to the lowest computed polymorph: 152 meV per atom

---

No. 19
Tb2NdRu9 after structural relaxation. Source: Alexandria via LeMat-Bulk, functional PBE-GGA.

Unit cell a=5.3064 b=5.3064 c=26.1312 alpha=90.00 beta=90.00 gamma=120.00
Space group R-3m (No. 166, hexagonal axes)
One atom of each set of equivalent atoms:
Tb 0.0000 0.0000 0.1398
Nd 0.0000 0.0000 0.0000
Ru 0.0000 0.0000 0.3383
Ru 0.0000 0.0000 0.5000
Ru 0.0108 0.5054 0.9170

## Properties
E: -296.1 eV for the cell shown
ΔH_f (0 K): -0.100 eV/atom

---

No. 20
Hf5Fe2Bi after structural relaxation. Source: Alexandria via LeMat-Bulk, functional PBE-GGA.

Unit cell a=6.9830 b=6.9830 c=13.3119 alpha=90.00 beta=90.00 gamma=90.00
Space group I4/mcm (No. 140)
One atom of each set of equivalent atoms:
Hf 0.0000 0.0000 0.0000
Hf 0.1553 0.3447 0.1255
Fe 0.1398 0.3602 0.5000
Bi 0.0000 0.0000 0.2500

## Properties
E: -288.2 eV for the cell shown
ΔH_f (0 K): -0.184 eV/atom

---

No. 21
SrGaHRh2 after structural relaxation. Source: Alexandria via LeMat-Bulk, functional PBE-GGA.

Unit cell a=3.9621 b=11.3059 c=7.2514 alpha=90.00 beta=90.00 gamma=90.00
Space group Cmcm (No. 63)
One atom of each set of equivalent atoms:
Sr 0.0000 0.0531 0.2500
Ga 0.0000 0.2205 0.7500
H 0.0000 0.5000 0.0000
Rh 0.0000 0.3404 0.0487

## Properties
E: -100.9 eV for the cell shown

---

No. 22
VFeAs2Se after structural relaxation. Source: Alexandria via LeMat-Bulk, functional PBE-GGA.

Unit cell a=4.7483 b=4.7483 c=4.7293 alpha=90.00 beta=90.00 gamma=90.00
Space group P4/mmm (No. 123)
One atom of each set of equivalent atoms:
V 0.0000 0.0000 0.0000
Fe 0.5000 0.5000 0.5000
As 0.0000 0.5000 0.0000
Se 0.0000 0.0000 0.5000

## Properties
E: -27.4 eV for the cell shown
ΔE to the lowest computed polymorph: 0 meV per atom
E_form (uncorrected): 0.60 eV per atom

---

No. 23
Li3CrPt after structural relaxation. Source: Alexandria via LeMat-Bulk, functional PBE-GGA.

Unit cell a=4.5553 b=4.5553 c=4.5553 alpha=90.00 beta=90.00 gamma=90.00
Space group Pm-3m (No. 221)
One atom of each set of equivalent atoms:
Li 0.0000 0.0000 0.5000
Cr 0.5000 0.5000 0.5000
Pt 0.0000 0.0000 0.0000

## Properties
E: -17.2 eV for the cell shown
ΔH_f (0 K): 0.847 eV/atom
ΔE to the lowest computed polymorph: 0 meV per atom

---

No. 24
Ce2TiGa4Au3 after structural relaxation. Source: Alexandria via LeMat-Bulk, functional PBE-GGA.

Unit cell a=4.2666 b=4.2666 c=11.2895 alpha=90.00 beta=90.00 gamma=90.00
Space group P-4m2 (No. 115)
One atom of each set of equivalent atoms:
Ce 0.0000 0.5000 0.2490
Ti 0.5000 0.5000 0.0000
Ga 0.0000 0.0000 0.5000
Ga 0.0000 0.5000 0.8610
Ga 0.5000 0.5000 0.5000
Au 0.0000 0.0000 0.0000
Au 0.0000 0.5000 0.6358

## Properties
E: -47.2 eV for the cell shown
ΔH_f (0 K): -0.553 eV/atom